1.
A plane-wave DFT calculation with PBE was carried out for Rb2NdAlO4 after structural relaxation.

Cell and atoms, written as POSCAR:
```
Rb2NdAlO4
1.0
0.000 6.301 12.132
2.875 0.000 12.132
2.875 6.301 0.000
Rb Nd Al O
4 2 2 8
direct
0.068 0.068 0.682
0.318 0.318 0.932
0.682 0.682 0.068
0.932 0.932 0.318
0.125 0.125 0.125
0.875 0.875 0.875
0.375 0.375 0.375
0.625 0.625 0.625
0.053 0.625 0.522
0.300 0.522 0.625
0.375 0.947 0.700
0.478 0.700 0.947
0.522 0.300 0.053
0.625 0.053 0.300
0.700 0.478 0.375
0.947 0.375 0.478
```

Properties
* E: -94.612 eV/cell
* size of the total moment: 0.0 μB per cell
* raw formation energy: -17.03 eV/f.u.

2.
A plane-wave DFT calculation with PBE was carried out for LiNi2Hg after structural relaxation.

Cell and atoms, written as POSCAR:
```
LiNi2Hg
1.0
3.580 0.000 0.000
0.000 3.580 0.000
0.000 0.000 18.252
Li Ni Hg
4 8 4
direct
0.000 0.000 0.000
0.000 0.500 0.250
0.500 0.000 0.750
0.500 0.500 0.500
0.240 0.250 0.125
0.250 0.740 0.375
0.250 0.760 0.875
0.260 0.250 0.625
0.740 0.750 0.625
0.750 0.240 0.875
0.750 0.260 0.375
0.760 0.750 0.125
0.000 0.000 0.500
0.000 0.500 0.750
0.500 0.000 0.250
0.500 0.500 0.000
```

Properties
* E: -50.969 eV/cell
* size of the total moment: 1.0 μB per cell

3.
A plane-wave DFT calculation with PBE was carried out for Cd12In5Hg2 after structural relaxation.

Cell and atoms, written as POSCAR:
```
Cd12In5Hg2
1.0
7.677 -5.657 0.000
7.677 5.657 0.000
-1.866 0.000 5.406
Cd In Hg
12 5 2
direct
0.054 0.545 0.799
0.055 0.055 0.276
0.148 0.652 0.397
0.348 0.852 0.603
0.396 0.396 0.950
0.455 0.946 0.201
0.545 0.054 0.799
0.604 0.604 0.050
0.652 0.148 0.397
0.852 0.348 0.603
0.945 0.945 0.724
0.946 0.455 0.201
0.175 0.175 0.832
0.284 0.284 0.399
0.500 0.500 0.500
0.716 0.716 0.601
0.825 0.825 0.168
0.247 0.753 0.000
0.753 0.247 0.000
```

Properties
* E: -24.571 eV/cell
* size of the total moment: 0.0 μB per cell

4.
A plane-wave DFT calculation with PBE was carried out for Sc2ReB after structural relaxation.

Cell and atoms, written as POSCAR:
```
Sc2ReB
1.0
9.753 0.000 0.000
0.000 3.623 0.000
-1.767 0.000 3.815
Sc Re B
4 2 2
direct
0.170 0.000 0.172
0.330 0.500 0.828
0.670 0.500 0.172
0.830 0.000 0.828
0.000 0.500 0.500
0.500 0.000 0.500
0.000 0.500 0.000
0.500 0.000 0.000
```

Properties
* E: -64.505 eV/cell
* size of the total moment: 0.0 μB per cell